Entry 1:
{"formula": "HoPuTe6", "functional": "PBE", "state": "optimized geometry", "lattice_angstrom": [[-1.9464, -1.8014, 3.4468], [-0.2236, -3.7977, -2.1110], [12.9059, -2.5463, 3.2134]], "species": ["Ho", "Pu", "Te", "Te", "Te", "Te", "Te", "Te"], "fractional_positions": [[0.8276, 0.0000, 0.6553], [0.1720, 0.5000, 0.3439], [0.5802, 0.5000, 0.1604], [0.4201, 0.0000, 0.8403], [0.2931, 0.5000, 0.5862], [0.7066, 0.0000, 0.4131], [0.9202, 0.5000, 0.8404], [0.0802, 0.0000, 0.1604]], "formation_energy_uncorrected_ev_per_fu": -6.402, "e_tot_ry_per_atom": -0.406, "density_g_cm3": 7.7, "dos_at_fermi_per_ev_atom": 1.621}

=====

Entry 2:
{"formula": "SiIrBr2", "functional": "PBE", "state": "optimized geometry", "lattice_angstrom": [[-1.6481, -0.3086, 4.4193], [-2.9796, -3.4121, -1.3495], [2.3535, -2.3378, 0.7145]], "species": ["Br", "Br", "Ir", "Si"], "fractional_positions": [[0.0000, 0.0000, 0.0000], [0.5000, 0.5000, 0.0000], [0.5000, 0.0000, 0.5000], [0.0000, 0.5000, 0.5000]], "formation_energy_uncorrected_ev_per_fu": 4.036, "e_tot_ry_per_atom": -0.250, "density_g_cm3": 8.3, "dos_at_fermi_per_ev_atom": 0.673}

=====

Entry 3:
{"formula": "Sc4P3Cl", "functional": "PBE", "state": "optimized geometry", "lattice_angstrom": [[-2.9648, 1.5950, 1.6651], [-4.0007, -3.9161, -3.3721], [-1.0277, -5.4763, 3.4157]], "species": ["Sc", "Sc", "Sc", "Sc", "P", "P", "P", "Cl"], "fractional_positions": [[0.0000, 0.7732, 0.7269], [0.5000, 0.7602, 0.2600], [0.0000, 0.2270, 0.2731], [0.5000, 0.2401, 0.7399], [0.5000, 0.0001, 0.5000], [0.0000, 0.0001, 0.0000], [0.0000, 0.5001, 0.5000], [0.5000, 0.5001, 0.0000]], "formation_energy_uncorrected_ev_per_fu": -12.067, "e_tot_ry_per_atom": -0.510, "density_g_cm3": 3.4, "dos_at_fermi_per_ev_atom": 0.378}

=====

Entry 4:
{"formula": "Zn3GeBi", "functional": "PBE", "state": "optimized geometry", "lattice_angstrom": [[-3.4939, -3.3246, -0.7890], [-0.6386, -0.4732, 4.8220], [-3.3567, 3.5505, -0.0961]], "species": ["Zn", "Zn", "Zn", "Ge", "Bi"], "fractional_positions": [[0.0000, 0.5000, 0.0000], [0.0000, 0.0000, 0.5000], [0.5000, 0.0000, 0.0000], [0.0000, 0.0000, 0.0000], [0.5000, 0.5000, 0.5000]], "e_tot_ry_per_atom": -0.151, "density_g_cm3": 6.8, "dos_at_fermi_per_ev_atom": 0.738, "ef_ev_per_atom": 0.4046}